# Tm3ScTe4

Tm3ScTe4 after structural relaxation (PBE, Alexandria via LeMat-Bulk).

Cell lengths 5.8711, 6.3637, 11.7465 Å; angles 90.00, 90.00, 90.00 degrees
With the nearest neighbours (Å) after each atom.
Fractional positions:
Sc (0.5643, 0.8278, 0.5000)  5 Te 2.97-3.03
Sc (0.0643, 0.1722, 0.0000)  5 Te 2.97-3.03
Te (0.5643, 0.2918, 0.0000)  4 Tm 3.02-3.32, 2 Sc 3.03
Te (0.0643, 0.2943, 0.2450)  1 Sc 2.98, 5 Tm 3.02-3.32
Te (0.5648, 0.2948, 0.5000)  1 Sc 2.97, 4 Tm 3.02
Te (0.0648, 0.7052, 0.0000)  1 Sc 2.97, 4 Tm 3.02
Te (0.5643, 0.7057, 0.7450)  1 Sc 2.98, 5 Tm 3.02-3.32
Te (0.0643, 0.2943, 0.7550)  1 Sc 2.98, 5 Tm 3.02-3.32
Te (0.5643, 0.7057, 0.2550)  1 Sc 2.98, 5 Tm 3.02-3.32
Te (0.0643, 0.7082, 0.5000)  4 Tm 3.02-3.32, 2 Sc 3.03
Tm (0.5642, 0.1833, 0.7495)  6 Te 3.02-3.32
Tm (0.5649, 0.8140, 0.0000)  6 Te 3.02-3.32
Tm (0.0642, 0.8167, 0.2495)  6 Te 3.02-3.32
Tm (0.0642, 0.8167, 0.7505)  6 Te 3.02-3.32
Tm (0.0649, 0.1860, 0.5000)  6 Te 3.02-3.32
Tm (0.5642, 0.1833, 0.2505)  6 Te 3.02-3.32

Summary:
The offset from the most stable computed form is 0.00 eV per formula unit. The calculation puts the volume at 438.9 Å³/cell. For the uncorrected formation energy, the calculation gives -27.150 kcal/mol of atoms.